[1]
First-principles (PBE-GGA) data for InSeIN2 after structural relaxation, as listed in Alexandria via LeMat-Bulk.

Values from the calculation:
ΔE_f (raw): 1.53 eV/atom
Space group: No. 123

a = 4.1118 Å, b = 4.1118 Å, c = 5.8944 Å
α = 90.00°, β = 90.00°, γ = 90.00°
Closest atoms and distances in Å follow each position.
Sites, in units of the cell vectors:
In1 0.0000 0.0000 0.0000  4 Se 2.91
Se1 0.5000 0.5000 0.0000  4 In 2.91, 2 I 2.95
I1 0.5000 0.5000 0.5000  4 N 2.06
N1 0.0000 0.5000 0.5000  2 I 2.06
N2 0.5000 0.0000 0.5000  2 I 2.06

=====

[2]
First-principles (PBE-GGA) data for InSeIN2 after structural relaxation, as listed in Alexandria via LeMat-Bulk.

Values from the calculation:
ΔE_f (raw): 1.51 eV/atom
Space group: No. 123

a = 4.1651 Å, b = 4.1651 Å, c = 7.2301 Å
α = 90.00°, β = 90.00°, γ = 90.00°
Closest atoms and distances in Å follow each position.
Sites, in units of the cell vectors:
In1 0.0000 0.0000 0.0000  4 I 2.95
Se1 0.5000 0.5000 0.5000  4 N 2.08
I1 0.5000 0.5000 0.0000  4 In 2.95
N1 0.0000 0.5000 0.5000  2 Se 2.08
N2 0.5000 0.0000 0.5000  2 Se 2.08

=====

[3]
First-principles (PBE-GGA) data for InSeIN2 after structural relaxation, as listed in Alexandria via LeMat-Bulk.

Values from the calculation:
ΔE_f (raw): 1.49 eV/atom
Space group: No. 123

a = 4.3822 Å, b = 4.3822 Å, c = 6.7891 Å
α = 90.00°, β = 90.00°, γ = 90.00°
Closest atoms and distances in Å follow each position.
Sites, in units of the cell vectors:
In1 0.0000 0.0000 0.0000  4 N 2.19
Se1 0.5000 0.5000 0.5000  4 I 3.10
I1 0.0000 0.0000 0.5000  4 Se 3.10, 2 In 3.39
N1 0.0000 0.5000 0.0000  2 In 2.19
N2 0.5000 0.0000 0.0000  2 In 2.19

=====

[4]
First-principles (PBE-GGA) data for InSeIN2 after structural relaxation, as listed in Alexandria via LeMat-Bulk.

Values from the calculation:
ΔE_f (raw): 1.41 eV/atom
Space group: No. 123

a = 4.4771 Å, b = 4.4771 Å, c = 6.1303 Å
α = 90.00°, β = 90.00°, γ = 90.00°
Closest atoms and distances in Å follow each position.
Sites, in units of the cell vectors:
In1 0.0000 0.0000 0.0000  4 N 2.24
Se1 0.0000 0.0000 0.5000  2 In 3.07, 4 I 3.17
I1 0.5000 0.5000 0.5000  4 Se 3.17
N1 0.0000 0.5000 0.0000  2 In 2.24
N2 0.5000 0.0000 0.0000  2 In 2.24

=====

[5]
First-principles (PBE-GGA) data for SrInI2N after structural relaxation, as listed in Alexandria via LeMat-Bulk.

Values from the calculation:
ΔE_f (raw): -0.09 eV/atom
Space group: No. 123

a = 6.5169 Å, b = 6.5169 Å, c = 5.0602 Å
α = 90.00°, β = 90.00°, γ = 90.00°
Closest atoms and distances in Å follow each position.
Sites, in units of the cell vectors:
Sr1 0.0000 0.0000 0.0000  2 N 2.53
In1 0.5000 0.5000 0.5000  8 I 4.13, 4 N 4.61
I1 0.0000 0.5000 0.0000  2 Sr 3.26
I2 0.5000 0.0000 0.0000  2 Sr 3.26
N1 0.0000 0.0000 0.5000  2 Sr 2.53

=====

[6]
First-principles (PBE-GGA) data for SrInI2N after structural relaxation, as listed in Alexandria via LeMat-Bulk.

Values from the calculation:
ΔE_f (raw): -0.07 eV/atom
Space group: No. 123

a = 5.8656 Å, b = 5.8656 Å, c = 4.3783 Å
α = 90.00°, β = 90.00°, γ = 90.00°
Closest atoms and distances in Å follow each position.
Sites, in units of the cell vectors:
Sr1 0.0000 0.0000 0.0000  8 I 3.66
In1 0.5000 0.5000 0.5000  2 N 2.19
I1 0.0000 0.5000 0.5000  2 In 2.93
I2 0.5000 0.0000 0.5000  2 In 2.93
N1 0.5000 0.5000 0.0000  2 In 2.19

=====

[7]
First-principles (PBE-GGA) data for TaInI2N after structural relaxation, as listed in Alexandria via LeMat-Bulk.

Values from the calculation:
ΔE_f (raw): 1.54 eV/atom
Space group: No. 123

a = 5.9449 Å, b = 5.9449 Å, c = 4.0087 Å
α = 90.00°, β = 90.00°, γ = 90.00°
Closest atoms and distances in Å follow each position.
Sites, in units of the cell vectors:
Ta1 0.0000 0.0000 0.0000  8 I 3.59, 2 Ta 4.01
In1 0.5000 0.5000 0.5000  2 N 2.00
I1 0.0000 0.5000 0.5000  2 In 2.97
I2 0.5000 0.0000 0.5000  2 In 2.97
N1 0.5000 0.5000 0.0000  2 In 2.00

=====

[8]
First-principles (PBE-GGA) data for TaInIN2 after structural relaxation, as listed in Alexandria via LeMat-Bulk.

Values from the calculation:
ΔE_f (raw): 0.38 eV/atom
Space group: No. 123

a = 4.2483 Å, b = 4.2483 Å, c = 5.6582 Å
α = 90.00°, β = 90.00°, γ = 90.00°
Closest atoms and distances in Å follow each position.
Sites, in units of the cell vectors:
Ta1 0.0000 0.0000 0.0000  4 N 2.12
In1 0.5000 0.5000 0.5000  4 I 3.00
I1 0.0000 0.0000 0.5000  2 Ta 2.83, 4 In 3.00
N1 0.0000 0.5000 0.0000  2 Ta 2.12
N2 0.5000 0.0000 0.0000  2 Ta 2.12

=====

[9]
First-principles (PBE-GGA) data for TaInI2N after structural relaxation, as listed in Alexandria via LeMat-Bulk.

Values from the calculation:
ΔE_f (raw): -0.04 eV/atom
Space group: No. 123

a = 5.9049 Å, b = 5.9049 Å, c = 3.9665 Å
α = 90.00°, β = 90.00°, γ = 90.00°
Closest atoms and distances in Å follow each position.
Sites, in units of the cell vectors:
Ta1 0.0000 0.0000 0.0000  2 N 1.98
In1 0.5000 0.5000 0.5000  8 I 3.56, 2 In 3.97
I1 0.0000 0.5000 0.0000  2 Ta 2.95
I2 0.5000 0.0000 0.0000  2 Ta 2.95
N1 0.0000 0.0000 0.5000  2 Ta 1.98

=====

[10]
First-principles (PBE-GGA) data for TaInIN2 after structural relaxation, as listed in Alexandria via LeMat-Bulk.

Values from the calculation:
ΔE_f (raw): 2.10 eV/atom
Space group: No. 123

a = 4.2028 Å, b = 4.2028 Å, c = 5.6691 Å
α = 90.00°, β = 90.00°, γ = 90.00°
Closest atoms and distances in Å follow each position.
Sites, in units of the cell vectors:
Ta1 0.0000 0.0000 0.0000  4 I 2.97
In1 0.5000 0.5000 0.5000  4 N 2.10
I1 0.5000 0.5000 0.0000  2 In 2.83, 4 Ta 2.97
N1 0.0000 0.5000 0.5000  2 In 2.10
N2 0.5000 0.0000 0.5000  2 In 2.10

=====

[11]
First-principles (PBE-GGA) data for InTcI2N after structural relaxation, as listed in Alexandria via LeMat-Bulk.

Values from the calculation:
ΔE_f (raw): 0.18 eV/atom
Space group: No. 123

a = 5.7375 Å, b = 5.7375 Å, c = 3.7786 Å
α = 90.00°, β = 90.00°, γ = 90.00°
Closest atoms and distances in Å follow each position.
Sites, in units of the cell vectors:
In1 0.0000 0.0000 0.0000  8 I 3.43, 2 In 3.78
Tc1 0.5000 0.5000 0.5000  2 N 1.89
I1 0.0000 0.5000 0.5000  2 Tc 2.87
I2 0.5000 0.0000 0.5000  2 Tc 2.87
N1 0.5000 0.5000 0.0000  2 Tc 1.89

=====

[12]
First-principles (PBE-GGA) data for InTcI2N after structural relaxation, as listed in Alexandria via LeMat-Bulk.

Values from the calculation:
ΔE_f (raw): 1.30 eV/atom
Space group: No. 123

a = 6.0905 Å, b = 6.0905 Å, c = 3.9773 Å
α = 90.00°, β = 90.00°, γ = 90.00°
Closest atoms and distances in Å follow each position.
Sites, in units of the cell vectors:
In1 0.0000 0.0000 0.0000  2 N 1.99
Tc1 0.5000 0.5000 0.5000  8 I 3.64, 2 Tc 3.98
I1 0.0000 0.5000 0.0000  2 In 3.05
I2 0.5000 0.0000 0.0000  2 In 3.05
N1 0.0000 0.0000 0.5000  2 In 1.99

=====

[13]
First-principles (PBE-GGA) data for InTe2IN after structural relaxation, as listed in Alexandria via LeMat-Bulk.

Values from the calculation:
ΔE_f (raw): 0.65 eV/atom
Space group: No. 123

a = 5.0079 Å, b = 5.0079 Å, c = 4.9248 Å
α = 90.00°, β = 90.00°, γ = 90.00°
Closest atoms and distances in Å follow each position.
Sites, in units of the cell vectors:
In1 0.0000 0.0000 0.0000  8 Te 3.51, 4 I 3.54
Te1 0.0000 0.5000 0.5000  2 N 2.50
Te2 0.5000 0.0000 0.5000  2 N 2.50
I1 0.5000 0.5000 0.0000  2 N 2.46
N1 0.5000 0.5000 0.5000  2 I 2.46, 4 Te 2.50

=====

[14]
First-principles (PBE-GGA) data for InTe2IN after structural relaxation, as listed in Alexandria via LeMat-Bulk.

Values from the calculation:
ΔE_f (raw): 1.27 eV/atom
Space group: No. 123

a = 5.7858 Å, b = 5.7858 Å, c = 6.1084 Å
α = 90.00°, β = 90.00°, γ = 90.00°
Closest atoms and distances in Å follow each position.
Sites, in units of the cell vectors:
In1 0.0000 0.0000 0.0000  4 Te 2.89, 2 I 3.05
Te1 0.0000 0.5000 0.0000  2 In 2.89
Te2 0.5000 0.0000 0.0000  2 In 2.89
I1 0.0000 0.0000 0.5000  2 In 3.05
N1 0.5000 0.5000 0.5000  4 I 4.09, 8 Te 4.21